A plane-wave DFT calculation with PBE-GGA was carried out for a relaxed structure of CaRe2Br.

a = 6.398 Å, b = 3.690 Å, c = 3.690 Å
α = 90.00°, β = 90.00°, γ = 90.00°
Fractional positions:
Re 0.000 0.000 0.000
Re 0.000 0.500 0.500
Ca 0.500 0.000 0.500
Br 0.500 0.500 0.000

Output
**Magnetic moment**: 0.00 μB/cell
**Offset from the most stable computed form**: 563 meV/atom